1.
Entry from the Alexandria database: a relaxed Sr4ZnBi4 crystal (PBE).

Cell and atoms, written as extended XYZ:
```
18
Lattice="9.779 0.000 0.000 0.000 9.779 0.000 0.000 0.000 7.016" Properties=species:S:1:pos:R:3 pbc="T T T"
Sr 0.101 2.445 0.307
Sr 2.445 0.101 3.815
Sr 2.445 4.788 3.815
Sr 4.788 2.445 0.307
Sr 4.991 7.334 6.709
Sr 7.334 4.991 3.201
Sr 7.334 9.677 3.201
Sr 9.677 7.334 6.709
Zn 2.445 7.334 1.754
Zn 7.334 2.445 5.262
Bi 0.088 7.334 3.262
Bi 2.445 4.977 0.246
Bi 2.445 9.691 0.246
Bi 4.801 7.334 3.262
Bi 4.977 2.445 3.754
Bi 7.334 0.088 6.770
Bi 7.334 4.801 6.770
Bi 9.691 2.445 3.754
```

Formation energy from the elements in meV per atom: -685
Total magnetization in Bohr magnetons per cell: 0.0
SG: P4_2/nmc (137)

***

2.
Entry from the Alexandria database: a relaxed Sr2ZnBi crystal (PBE).

Cell and atoms, written as extended XYZ:
```
16
Lattice="6.002 0.000 0.000 0.000 6.002 0.000 0.000 0.000 19.869" Properties=species:S:1:pos:R:3 pbc="T T T"
Sr 1.464 1.501 2.484
Sr 1.501 4.465 7.451
Sr 1.501 4.538 17.386
Sr 1.537 1.501 12.418
Sr 4.465 4.502 12.418
Sr 4.502 1.464 17.386
Sr 4.502 1.537 7.451
Sr 4.538 4.502 2.484
Zn 0.000 0.000 0.000
Zn 0.000 3.001 4.967
Zn 3.001 0.000 14.902
Zn 3.001 3.001 9.935
Bi 0.000 0.000 9.935
Bi 0.000 3.001 14.902
Bi 3.001 0.000 4.967
Bi 3.001 3.001 0.000
```

Formation energy from the elements in meV per atom: -103
Total magnetization in Bohr magnetons per cell: 0.0
Excess energy over the best structure of this formula in the dataset in meV/atom: 444
SG: I-42d (122)

***

3.
Entry from the Alexandria database: a relaxed SrZnBi2 crystal (PBE).

Cell and atoms, written as extended XYZ:
```
16
Lattice="8.588 0.000 0.000 0.000 8.588 0.000 0.000 0.000 6.740" Properties=species:S:1:pos:R:3 pbc="T T T"
Sr 0.000 0.000 0.000
Sr 0.000 4.294 1.685
Sr 4.294 0.000 5.055
Sr 4.294 4.294 3.370
Zn 0.000 0.000 3.370
Zn 0.000 4.294 5.055
Zn 4.294 0.000 1.685
Zn 4.294 4.294 0.000
Bi 1.659 2.147 4.212
Bi 2.147 5.953 5.897
Bi 2.147 6.929 2.527
Bi 2.635 2.147 0.842
Bi 5.953 6.441 0.842
Bi 6.441 1.659 2.527
Bi 6.441 2.635 5.897
Bi 6.929 6.441 4.212
```

Formation energy from the elements in meV per atom: -362
Total magnetization in Bohr magnetons per cell: 0.0
SG: I-42d (122)

***

4.
Entry from the Alexandria database: a relaxed Sr2ZnBi5 crystal (PBE).

Cell and atoms, written as extended XYZ:
```
16
Lattice="9.854 0.000 0.000 0.000 10.273 0.000 -4.921 0.000 5.148" Properties=species:S:1:pos:R:3 pbc="T T T"
Sr 0.000 2.563 0.000
Sr 0.000 7.710 0.000
Sr 4.927 2.574 0.000
Sr 4.927 7.700 0.000
Zn 1.191 0.000 2.573
Zn 6.118 5.137 2.573
Bi -0.129 5.137 2.570
Bi -2.463 0.000 5.033
Bi 2.448 5.137 0.114
Bi 2.461 2.689 2.574
Bi 2.461 7.584 2.574
Bi 4.798 0.000 2.570
Bi 2.464 5.137 5.033
Bi 7.375 0.000 0.114
Bi 7.388 2.447 2.574
Bi 7.388 7.826 2.574
```

Formation energy from the elements in meV per atom: -369
Total magnetization in Bohr magnetons per cell: 0.0
SG: Cm (8)

***

Number 1: uncorrected energy -3.299 eV/atom. Number 2: uncorrected energy -2.233 eV/atom. Number 3: uncorrected energy -3.042 eV/atom. Number 4: uncorrected energy -3.374 eV/atom.